First-principles (PBE) data for an optimized crystal structure of FeAg2Pt, as listed in Alexandria via LeMat-Bulk.

a b c (Å): 2.831 2.831 7.953
angles (deg): 90.00 90.00 90.00
Space group P4mm (No. 99)
Inequivalent atoms, fractional coordinates:
Fe  0.000  0.000  0.000 [1 per cell]
Ag  0.000  0.000  0.479 [1 per cell]
Ag  0.500  0.500  0.753 [1 per cell]
Pt  0.500  0.500  0.211 [1 per cell]

Properties
density	12.15	Mg/m³
energy of formation	0.040	eV per atom
total magnetic moment	3.27	μB/f.u.

=====

First-principles (PBE) data for an optimized crystal structure of FeAg2Pt, as listed in Alexandria via LeMat-Bulk.

a b c (Å): 2.824 3.839 5.914
angles (deg): 90.00 90.12 90.00
Space group Pm (No. 6)
Inequivalent atoms, fractional coordinates:
Fe  0.000  0.000  0.000 [1 per cell]
Ag  0.001  0.000  0.473 [1 per cell]
Ag  0.501  0.500  0.730 [1 per cell]
Pt  0.501  0.500  0.197 [1 per cell]

Properties
density	12.09	Mg/m³
energy of formation	0.079	eV per atom
total magnetic moment	3.44	μB/f.u.

=====

First-principles (PBE) data for an optimized crystal structure of FeAg2Pt, as listed in Alexandria via LeMat-Bulk.

a b c (Å): 3.871 3.871 4.278
angles (deg): 90.00 90.00 90.00
Space group P4/mmm (No. 123)
Inequivalent atoms, fractional coordinates:
Fe  0.000  0.000  0.000 [1 per cell]
Ag  0.000  0.500  0.500 [2 per cell]
Pt  0.500  0.500  0.000 [1 per cell]

Properties
density	12.09	Mg/m³
energy of formation	0.175	eV per atom
total magnetic moment	3.51	μB/f.u.

=====

First-principles (PBE) data for an optimized crystal structure of FeAgPt, as listed in Alexandria via LeMat-Bulk.

a b c (Å): 5.950 5.950 5.950
angles (deg): 90.00 90.00 90.00
Space group F-43m (No. 216)
Inequivalent atoms, fractional coordinates:
Fe  0.000  0.000  0.000 [4 per cell]
Ag  0.250  0.250  0.750 [4 per cell]
Pt  0.250  0.250  0.250 [4 per cell]

Properties
density	11.31	Mg/m³
energy of formation	0.334	eV per atom
total magnetic moment	3.58	μB/f.u.
energy above the lowest structure with this stoichiometry	8.571	kcal/mol of atoms

=====

First-principles (PBE) data for an optimized crystal structure of Fe2AgPt3, as listed in Alexandria via LeMat-Bulk.

a b c (Å): 2.772 2.772 11.644
angles (deg): 90.00 90.00 90.00
Space group P4/mmm (No. 123)
Inequivalent atoms, fractional coordinates:
Fe  0.000  0.000  0.159 [2 per cell]
Ag  0.000  0.000  0.500 [1 per cell]
Pt  0.500  0.500  0.000 [1 per cell]
Pt  0.500  0.500  0.312 [2 per cell]

Properties
density	14.93	Mg/m³
energy of formation	-0.173	eV per atom
total magnetic moment	6.94	μB/f.u.

=====

First-principles (PBE) data for an optimized crystal structure of Fe4AgPt5, as listed in Alexandria via LeMat-Bulk.

a b c (Å): 2.749 2.749 19.269
angles (deg): 90.00 90.00 90.00
Space group P4/mmm (No. 123)
Inequivalent atoms, fractional coordinates:
Fe  0.000  0.000  0.097 [2 per cell]
Fe  0.000  0.000  0.292 [2 per cell]
Ag  0.000  0.000  0.500 [1 per cell]
Pt  0.500  0.500  0.000 [1 per cell]
Pt  0.500  0.500  0.194 [2 per cell]
Pt  0.500  0.500  0.385 [2 per cell]

Properties
density	14.90	Mg/m³
energy of formation	-0.204	eV per atom
total magnetic moment	13.39	μB/f.u.

=====

First-principles (PBE) data for an optimized crystal structure of FeAg2PtRh, as listed in Alexandria via LeMat-Bulk.

a b c (Å): 4.702 4.702 4.423
angles (deg): 90.00 90.00 90.00
Space group P4/mmm (No. 123)
Inequivalent atoms, fractional coordinates:
Fe  0.000  0.000  0.000 [1 per cell]
Ag  0.000  0.500  0.000 [2 per cell]
Pt  0.500  0.500  0.500 [1 per cell]
Rh  0.000  0.000  0.500 [1 per cell]

Properties
density	9.67	Mg/m³
energy of formation	1.163	eV per atom
total magnetic moment	4.04	μB/f.u.

=====

First-principles (PBE) data for an optimized crystal structure of FeAgPt2Rh, as listed in Alexandria via LeMat-Bulk.

a b c (Å): 4.844 4.844 4.475
angles (deg): 90.00 90.00 90.00
Space group P4/mmm (No. 123)
Inequivalent atoms, fractional coordinates:
Fe  0.000  0.000  0.000 [1 per cell]
Ag  0.000  0.000  0.500 [1 per cell]
Pt  0.000  0.500  0.500 [2 per cell]
Rh  0.500  0.500  0.000 [1 per cell]

Properties
density	10.39	Mg/m³
energy of formation	2.037	eV per atom
total magnetic moment	0.87	μB/f.u.

=====

First-principles (PBE) data for an optimized crystal structure of FeTcAgPt2, as listed in Alexandria via LeMat-Bulk.

a b c (Å): 4.845 4.845 4.424
angles (deg): 90.00 90.00 90.00
Space group P4/mmm (No. 123)
Inequivalent atoms, fractional coordinates:
Fe  0.000  0.000  0.000 [1 per cell]
Tc  0.000  0.000  0.500 [1 per cell]
Ag  0.500  0.500  0.000 [1 per cell]
Pt  0.000  0.500  0.500 [2 per cell]

Properties
density	10.42	Mg/m³
energy of formation	1.171	eV per atom
total magnetic moment	2.26	μB/f.u.

=====

First-principles (PBE) data for an optimized crystal structure of ZnFe2AgPt, as listed in Alexandria via LeMat-Bulk.

a b c (Å): 4.694 4.694 5.139
angles (deg): 90.00 90.00 90.00
Space group P4/mmm (No. 123)
Inequivalent atoms, fractional coordinates:
Zn  0.000  0.000  0.000 [1 per cell]
Fe  0.000  0.500  0.500 [2 per cell]
Ag  0.500  0.500  0.000 [1 per cell]
Pt  0.500  0.500  0.500 [1 per cell]

Properties
density	7.04	Mg/m³
energy of formation	1.009	eV per atom
total magnetic moment	7.12	μB/f.u.

=====

First-principles (PBE) data for an optimized crystal structure of ZnFeAgPt, as listed in Alexandria via LeMat-Bulk.

a b c (Å): 6.211 6.211 6.211
angles (deg): 90.00 90.00 90.00
Space group F-43m (No. 216)
Inequivalent atoms, fractional coordinates:
Zn  0.000  0.000  0.000 [4 per cell]
Fe  0.000  0.000  0.500 [4 per cell]
Ag  0.250  0.250  0.750 [4 per cell]
Pt  0.250  0.250  0.250 [4 per cell]

Properties
density	11.76	Mg/m³
energy of formation	-0.070	eV per atom
total magnetic moment	3.13	μB/f.u.

=====

First-principles (PBE) data for an optimized crystal structure of Zr2FeAgPt, as listed in Alexandria via LeMat-Bulk.

a b c (Å): 5.025 5.025 5.032
angles (deg): 90.00 90.00 90.00
Space group P4/mmm (No. 123)
Inequivalent atoms, fractional coordinates:
Zr  0.000  0.500  0.000 [2 per cell]
Fe  0.000  0.000  0.500 [1 per cell]
Ag  0.500  0.500  0.500 [1 per cell]
Pt  0.500  0.500  0.000 [1 per cell]

Properties
density	7.07	Mg/m³
energy of formation	0.748	eV per atom
total magnetic moment	2.21	μB/f.u.
energy above the lowest structure with this stoichiometry	0.000	kcal/mol of atoms